Entry 1:
A plane-wave DFT calculation with PBE was carried out for a relaxed structure of BaYV2Cu.

Structure (POSCAR):
```
BaYV2Cu
1.0
-1.5175 4.6024 -1.7411
-3.1090 -2.3094 -3.3950
-3.8146 0.0507 3.4588
Y Ba Cu V
1 1 1 2
Cartesian
-4.2205 1.1719 -0.8387 Y
0.0000 0.0000 0.0000 Ba
-1.5545 -1.1547 -1.6975 Cu
-1.9073 0.0254 1.7294 V
-0.7588 2.3012 -0.8706 V
```

Entry 2:
A plane-wave DFT calculation with PBE was carried out for a relaxed structure of Ac2FeGePt6.

Structure (POSCAR):
```
Ac2FeGePt6
1.0
5.5976 -0.0037 0.0067
0.0055 8.4357 -0.0701
2.7963 4.2015 4.4899
Ac Fe Ge Pt
2 1 1 6
Cartesian
5.5976 3.8539 2.2838 Ac
2.8018 8.7795 2.1426 Ac
0.0000 0.0000 0.0000 Fe
2.8015 4.2160 -0.0317 Ge
2.7999 5.3357 2.2329 Pt
4.2155 6.3114 0.0319 Pt
1.3903 6.3134 0.0288 Pt
7.0090 6.3201 4.3976 Pt
4.1839 6.3221 4.3945 Pt
5.5995 7.2978 2.1935 Pt
```

Number 1: total magnetization 5.4 μB/cell, ΔE_f 166 kJ per mole of atoms. Number 2: total magnetization 2.9 μB/cell, ΔE_f -74 kJ per mole of atoms.